[1]
A relaxed structure of BaNpOs. Source: OQMD, functional PBE.

a = 4.7299 Å, b = 4.7299 Å, c = 4.7299 Å
α = 60.00°, β = 60.00°, γ = 60.00°
Last column: nearest neighbours and their distance in Å.
Atoms (fractional coordinates):
Ba: 0.0000 0.0000 0.0000  4 Np 2.90, 4 Os 2.90
Np: 0.2500 0.2500 0.2500  4 Ba 2.90
Os: 0.7500 0.7500 0.7500  4 Ba 2.90

Output
M_tot = 0.00 μB per atom
space-group type = F-43m, No. 216
E = -6.600 eV per atom

***

[2]
A relaxed structure of BaNpOs. Source: OQMD, functional PBE.

a = 4.9771 Å, b = 4.9771 Å, c = 4.9771 Å
α = 60.00°, β = 60.00°, γ = 60.00°
Last column: nearest neighbours and their distance in Å.
Atoms (fractional coordinates):
Ba: 0.2500 0.2500 0.2500  4 Os 3.05
Np: 0.7500 0.7500 0.7500  4 Os 3.05
Os: 0.0000 0.0000 0.0000  4 Np 3.05, 4 Ba 3.05

Output
M_tot = 1.38 μB per atom
space-group type = F-43m, No. 216
E = -7.777 eV per atom

***

[3]
A relaxed structure of BaNpPa. Source: OQMD, functional PBE.

a = 5.1766 Å, b = 5.1766 Å, c = 5.1766 Å
α = 60.00°, β = 60.00°, γ = 60.00°
Last column: nearest neighbours and their distance in Å.
Atoms (fractional coordinates):
Ba: 0.0000 0.0000 0.0000  4 Np 3.17
Np: 0.7500 0.7500 0.7500  4 Pa 3.17, 4 Ba 3.17
Pa: 0.5000 0.5000 0.5000  4 Np 3.17

Output
M_tot = 2.24 μB per atom
space-group type = F-43m, No. 216
E = -6.594 eV per atom

***

[4]
A relaxed structure of BaNpPd. Source: OQMD, functional PBE.

a = 4.9815 Å, b = 4.9815 Å, c = 4.9815 Å
α = 60.00°, β = 60.00°, γ = 60.00°
Last column: nearest neighbours and their distance in Å.
Atoms (fractional coordinates):
Ba: 0.0000 0.0000 0.0000  4 Pd 3.05, 4 Np 3.05
Np: 0.2500 0.2500 0.2500  4 Ba 3.05
Pd: 0.7500 0.7500 0.7500  4 Ba 3.05

Output
M_tot = 1.68 μB per atom
space-group type = F-43m, No. 216
E = -5.741 eV per atom

***

[5]
A relaxed structure of BaNpPd. Source: OQMD, functional PBE.

a = 5.1822 Å, b = 5.1822 Å, c = 5.1822 Å
α = 60.00°, β = 60.00°, γ = 60.00°
Last column: nearest neighbours and their distance in Å.
Atoms (fractional coordinates):
Ba: 0.2500 0.2500 0.2500  4 Pd 3.17
Np: 0.7500 0.7500 0.7500  4 Pd 3.17
Pd: 0.0000 0.0000 0.0000  4 Np 3.17, 4 Ba 3.17

Output
M_tot = 1.61 μB per atom
space-group type = F-43m, No. 216
E = -6.283 eV per atom

***

[6]
A relaxed structure of BaPrNp. Source: OQMD, functional PBE.

a = 5.6805 Å, b = 5.6805 Å, c = 5.6805 Å
α = 60.00°, β = 60.00°, γ = 60.00°
Last column: nearest neighbours and their distance in Å.
Atoms (fractional coordinates):
Ba: 0.2500 0.2500 0.2500  4 Pr 3.48
Np: 0.7500 0.7500 0.7500  4 Pr 3.48
Pr: 0.0000 0.0000 0.0000  4 Ba 3.48, 4 Np 3.48

Output
M_tot = 2.13 μB per atom
space-group type = F-43m, No. 216
E = -5.194 eV per atom

***

- Which value of E does entry 3 give?
  -6.594 eV per atom

***

- Which value of M_tot does entry 6 give?
  2.13 μB per atom

***

- Which of these has the highest M_tot?
  BaNpPa

***

- Among the records above, which one has the highest E?
  BaPrNp